[1]
AsPt3: optimized geometry, PBE.

a b c (Å): 6.1113 4.8707 8.7316
angles (deg): 90.00 90.00 90.00
Sites, in units of the cell vectors:
Pt: 0.3640 0.7670 0.0356
Pt: 0.1360 0.2670 0.0356
As: 0.4335 0.0904 0.2500
Pt: 0.6422 0.5273 0.2500
Pt: 0.8640 0.7330 0.9644
As: 0.0665 0.5904 0.2500
Pt: 0.3640 0.7670 0.4644
As: 0.5665 0.9096 0.7500
Pt: 0.1422 0.9727 0.7500
Pt: 0.6360 0.2330 0.9644
As: 0.9335 0.4096 0.7500
Pt: 0.6360 0.2330 0.5356
Pt: 0.8578 0.0273 0.2500
Pt: 0.3578 0.4727 0.7500
Pt: 0.1360 0.2670 0.4644
Pt: 0.8640 0.7330 0.5356

Summary:
- M_tot: 0.0 Bohr magnetons per cell
- Final energy: -93.0 eV/cell
- Space-group type: Pnma (62)

=====

[2]
AsPt2: optimized geometry, PBE.

a b c (Å): 7.9050 7.9050 3.5308
angles (deg): 90.00 90.00 152.51
Sites, in units of the cell vectors:
As: 0.6092 0.3908 0.7500
Pt: 0.7853 0.2147 0.2500
As: 0.3908 0.6092 0.2500
Pt: 0.9311 0.0689 0.7500
Pt: 0.0689 0.9311 0.2500
Pt: 0.2147 0.7853 0.7500

Summary:
- M_tot: 0.0 Bohr magnetons per cell
- Final energy: -34.2 eV/cell
- Space-group type: Cmcm (63)

=====

[3]
As3Pt: optimized geometry, PBE.

a b c (Å): 3.7053 2.7575 7.9735
angles (deg): 70.18 90.00 90.00
Sites, in units of the cell vectors:
As: 0.0000 0.0142 0.4834
Pt: 0.5000 0.2500 0.2500
As: 0.5000 0.7500 0.7500
As: 0.0000 0.4858 0.0166

Summary:
- ΔE to the lowest computed polymorph: 64 meV per atom
- M_tot: 0.0 Bohr magnetons per cell
- Space-group type: P2/m (10)

=====

[4]
AsPt: optimized geometry, PBE.

a b c (Å): 5.2936 5.2936 5.2936
angles (deg): 143.96 127.61 65.24
Sites, in units of the cell vectors:
As: 0.3610 0.6110 0.2500
Pt: 0.8641 0.1141 0.2500
Pt: 0.1359 0.8859 0.7500
As: 0.6390 0.3890 0.7500

Summary:
- M_tot: 0.0 Bohr magnetons per cell
- Final energy: -21.4 eV/cell
- Space-group type: Imma (74)

=====

[5]
AsPt: optimized geometry, PBE.

a b c (Å): 10.1790 10.1790 3.9374
angles (deg): 90.00 90.00 90.00
Sites, in units of the cell vectors:
As: 0.2101 0.4206 0.0000
Pt: 0.3446 0.2109 0.0000
Pt: 0.8446 0.7109 0.5000
As: 0.9206 0.2899 0.5000
As: 0.4206 0.7899 0.0000
As: 0.2899 0.0794 0.5000
As: 0.5794 0.2101 0.0000
As: 0.7899 0.5794 0.0000
As: 0.0794 0.7101 0.5000
Pt: 0.2109 0.6554 0.0000
As: 0.7101 0.9206 0.5000
Pt: 0.7891 0.3446 0.0000
Pt: 0.1554 0.2891 0.5000
Pt: 0.7109 0.1554 0.5000
Pt: 0.6554 0.7891 0.0000
Pt: 0.2891 0.8446 0.5000

Summary:
- M_tot: 0.0 Bohr magnetons per cell
- Final energy: -87.8 eV/cell
- Space-group type: I4/m (87)

=====

[6]
As3Pt: optimized geometry, PBE.

a b c (Å): 4.9788 4.9788 4.9788
angles (deg): 90.00 90.00 90.00
Sites, in units of the cell vectors:
Pt: 0.0000 0.0000 0.0000
As: 0.0000 0.5000 0.0000
As: 0.5000 0.0000 0.0000
As: 0.0000 0.0000 0.5000

Summary:
- ΔE to the lowest computed polymorph: 918 meV per atom
- M_tot: 0.0 Bohr magnetons per cell
- Space-group type: Pm-3m (221)

=====

[7]
AsPt3: optimized geometry, PBE.

a b c (Å): 8.9344 8.9344 8.9344
angles (deg): 154.66 154.66 36.13
Sites, in units of the cell vectors:
Pt: 0.2500 0.7500 0.5000
As: 0.3559 0.3559 0.0000
Pt: 0.8848 0.8848 0.0000
Pt: 0.1152 0.1152 0.0000
As: 0.6441 0.6441 0.0000
Pt: 0.5000 0.0000 0.5000
Pt: 0.7500 0.2500 0.5000
Pt: 0.0000 0.5000 0.5000

Summary:
- M_tot: 0.0 Bohr magnetons per cell
- Final energy: -46.0 eV/cell
- Space-group type: I4/mmm (139)

=====

[8]
AsPt: optimized geometry, PBE.

a b c (Å): 7.3187 7.3187 3.3717
angles (deg): 90.00 90.00 90.00
Sites, in units of the cell vectors:
As: 0.3016 0.6984 0.0000
As: 0.8016 0.8016 0.5000
Pt: 0.3653 0.3653 0.0000
Pt: 0.6347 0.6347 0.0000
As: 0.1984 0.1984 0.5000
As: 0.6984 0.3016 0.0000
Pt: 0.8653 0.1347 0.5000
Pt: 0.1347 0.8653 0.5000

Summary:
- M_tot: 0.0 Bohr magnetons per cell
- Final energy: -44.4 eV/cell
- Space-group type: P4_2/mnm (136)